[1]
# OsI3Cl

An optimized crystal structure of OsI3Cl (PBE, Alexandria via LeMat-Bulk).

Values from the calculation:
The total energy is -1.84 eV/atom. The uncorrected formation energy comes out at 165 kJ per mole of atoms. The size of the total moment is 1.046 μB/atom.

Unit cell a=5.7200 b=5.7200 c=5.7200 alpha=90.00 beta=90.00 gamma=90.00
Last column: nearest neighbours and their distance in Å.
Fractional coordinates of all 5 atoms:
I (0.0000, 0.5000, 0.0000)  2 Cl 2.86
I (0.0000, 0.0000, 0.5000)  2 Cl 2.86
I (0.5000, 0.0000, 0.0000)  2 Cl 2.86
Os (0.5000, 0.5000, 0.5000)  12 I 4.04
Cl (0.0000, 0.0000, 0.0000)  6 I 2.86

=====

[2]
# TaWAu2

An optimized crystal structure of TaWAu2 (PBE, Alexandria via LeMat-Bulk).

Values from the calculation:
The total energy is -7.62 eV/atom. The size of the total moment is 0.000 μB/atom. The value obtained for the formation energy is 220 meV/atom.

Unit cell a=4.9809 b=4.9809 c=5.2069 alpha=82.48 beta=82.48 gamma=32.63
Last column: nearest neighbours and their distance in Å.
Fractional coordinates of all 4 atoms:
Au (0.9968, 0.9968, 0.0050)  5 Au 2.80-2.97, 3 W 2.87-2.88, 4 Ta 2.95-2.96
Au (0.7521, 0.7521, 0.7489)  5 Au 2.80-2.97, 3 Ta 2.87-2.91, 4 W 2.93-2.98
Ta (0.5012, 0.5012, 0.5025)  2 Ta 2.80, 7 Au 2.87-2.96, 3 W 2.91-2.92
W (0.2499, 0.2499, 0.2436)  2 W 2.80, 7 Au 2.87-2.98, 3 Ta 2.91-2.92

=====

[3]
# Pm6Dy2Er3In

An optimized crystal structure of Pm6Dy2Er3In (PBE, Alexandria via LeMat-Bulk).

Values from the calculation:
The total energy is -4.55 eV/atom. The size of the total moment is 0.000 μB/atom. The value obtained for the formation energy is -38 meV/atom.

Unit cell a=6.1674 b=6.1674 c=11.7422 alpha=95.05 beta=95.05 gamma=120.09
Last column: nearest neighbours and their distance in Å.
Fractional coordinates of all 12 atoms:
Pm (0.9172, 0.5896, 0.7511)  6 Pm 3.50-3.59, 1 In 3.51, 2 Dy 3.55, 3 Er 3.55-3.57
Pm (0.7556, 0.7556, 0.2500)  6 Pm 3.50-3.59, 1 In 3.53, 3 Er 3.54-3.57, 2 Dy 3.55
Pm (0.0828, 0.4104, 0.2489)  6 Pm 3.50-3.59, 1 In 3.51, 2 Dy 3.55, 3 Er 3.55-3.57
Pm (0.5896, 0.9172, 0.7511)  6 Pm 3.50-3.59, 1 In 3.51, 2 Dy 3.55, 3 Er 3.55-3.57
Pm (0.2444, 0.2444, 0.7500)  6 Pm 3.50-3.59, 1 In 3.53, 3 Er 3.54-3.57, 2 Dy 3.55
Pm (0.4104, 0.0828, 0.2489)  6 Pm 3.50-3.59, 1 In 3.51, 2 Dy 3.55, 3 Er 3.55-3.57
Dy (0.3336, 0.6664, 0.0000)  6 Pm 3.55, 3 In 3.56-3.57, 3 Dy 3.56
Dy (0.6664, 0.3336, 0.0000)  6 Pm 3.55, 3 In 3.56-3.57, 3 Dy 3.56
Er (0.1674, 0.8326, 0.5000)  6 Pm 3.54-3.57, 6 Er 3.55-3.58
Er (0.8326, 0.1674, 0.5000)  6 Pm 3.54-3.57, 6 Er 3.55-3.58
Er (0.5000, 0.5000, 0.5000)  6 Pm 3.55-3.57, 6 Er 3.55-3.56
In (0.0000, 0.0000, 0.0000)  6 Pm 3.51-3.53, 6 Dy 3.56-3.57

=====

[4]
# ZnTcRh2

An optimized crystal structure of ZnTcRh2 (PBE, Alexandria via LeMat-Bulk).

Values from the calculation:
The total energy is -6.67 eV/atom. The size of the total moment is 0.001 μB/atom. The value obtained for the formation energy is -89 meV/atom.

Unit cell a=4.6448 b=4.6448 c=2.7443 alpha=90.00 beta=90.00 gamma=106.49
Last column: nearest neighbours and their distance in Å.
Fractional coordinates of all 4 atoms:
Rh (0.0000, 0.0000, 0.0000)  4 Tc 2.70, 4 Zn 2.70, 4 Rh 2.74-2.78
Rh (0.5000, 0.5000, 0.0000)  4 Zn 2.70, 4 Tc 2.70, 4 Rh 2.74-2.78
Tc (0.5000, 0.0000, 0.5000)  8 Rh 2.70, 2 Tc 2.74, 2 Zn 2.78
Zn (0.0000, 0.5000, 0.5000)  8 Rh 2.70, 2 Zn 2.74, 2 Tc 2.78

=====

[5]
# HfZr2Mo

An optimized crystal structure of HfZr2Mo (PBE, Alexandria via LeMat-Bulk).

Values from the calculation:
The total energy is -9.44 eV/atom. The size of the total moment is 0.000 μB/atom. The value obtained for the formation energy is 32 meV/atom.

Unit cell a=3.3864 b=3.3864 c=7.2366 alpha=90.00 beta=90.00 gamma=90.00
Last column: nearest neighbours and their distance in Å.
Fractional coordinates of all 4 atoms:
Mo (0.5000, 0.5000, 0.0000)  8 Zr 2.87
Hf (0.5000, 0.5000, 0.5000)  8 Zr 3.14, 4 Hf 3.39
Zr (0.0000, 0.0000, 0.7806)  4 Mo 2.87, 4 Hf 3.14, 1 Zr 3.18
Zr (0.0000, 0.0000, 0.2194)  4 Mo 2.87, 4 Hf 3.14, 1 Zr 3.18

=====

[6]
# Sm6In2Pt

An optimized crystal structure of Sm6In2Pt (PBE, Alexandria via LeMat-Bulk).

Values from the calculation:
The total energy is -4.75 eV/atom. The size of the total moment is 0.000 μB/atom. The value obtained for the formation energy is -320 meV/atom.

Unit cell a=5.2150 b=7.3833 c=8.8641 alpha=114.61 beta=107.10 gamma=90.01
Last column: nearest neighbours and their distance in Å.
Fractional coordinates of all 9 atoms:
Sm (0.1569, 0.3978, 0.3138)  1 Pt 2.98, 3 In 3.22-3.24
Sm (0.8430, 0.0841, 0.6862)  1 Pt 2.98, 3 In 3.22-3.24
Sm (0.8431, 0.6022, 0.6862)  1 Pt 2.98, 3 In 3.22-3.24
Sm (0.5000, 0.2284, 0.0000)  2 Pt 3.11, 2 In 3.24, 1 Sm 3.37
Sm (0.1570, 0.9159, 0.3138)  1 Pt 2.98, 3 In 3.22-3.24
Sm (0.5000, 0.7716, 0.0000)  2 Pt 3.11, 2 In 3.24, 1 Sm 3.37
In (0.6670, 0.6672, 0.3341)  8 Sm 3.22-3.24
In (0.3330, 0.3328, 0.6659)  8 Sm 3.22-3.24
Pt (0.0000, 0.0000, 0.0000)  8 Sm 2.98-3.11